DFT (SCAN) results for a PBEsol-optimized structure of NaAg2Au.

The structure in CIF format:
```
data_NaAg2Au
_chemical_formula_sum 'Na1 Ag2 Au1'
_symmetry_space_group_name_H-M 'P 1'
_symmetry_Int_Tables_number 1
_cell_length_a 4.640
_cell_length_b 4.640
_cell_length_c 4.640
_cell_angle_alpha 60.00
_cell_angle_beta 60.00
_cell_angle_gamma 60.00
loop_
_symmetry_equiv_pos_as_xyz
'x,y,z'
loop_
_atom_site_label
_atom_site_fract_x
_atom_site_fract_y
_atom_site_fract_z
Na1 0.000 0.000 0.000
Au1 0.500 0.500 0.500
Ag1 0.250 0.250 0.250
Ag2 0.750 0.750 0.750
```

Output
For the total DFT energy (no corrections), the calculation gives -136.527 eV per formula unit. The value obtained for the formation energy is -0.1053 eV/atom. The space-group type is Fm-3m, No. 225.